[1]
Here is an optimized crystal structure of ScFeSe from the Alexandria database. Energies are from PBE.

Cell and atoms, written as POSCAR:
```
ScFeSe
1.0
-0.2304 3.5122 -3.7209
-2.9424 1.5487 -3.8960
-1.9161 2.5551 1.0201
Fe Se Sc
1 1 1
direct
0.0177 0.0177 0.9823 Fe
0.6484 0.6484 0.3516 Se
0.3339 0.3339 0.6661 Sc
```

**Calculated density**: 5.85 Mg/m³
**V**: 51.0 Å³/cell
**DOS at the Fermi energy**: 2.392 states/eV/cell
**ΔE to the lowest computed polymorph**: 242 meV/atom
**Formation energy from raw total energies**: -112 kJ/mol of formula units
**M_tot**: 0.863 μB per atom

[2]
Here is an optimized crystal structure of Na3AgBr from the Alexandria database. Energies are from PBE.

Cell and atoms, written as POSCAR:
```
Na3AgBr
1.0
-3.3327 2.9924 -3.4398
-4.3981 -3.2328 1.4488
-1.2014 3.5338 4.2382
Na Ag Br
3 1 1
direct
0.5000 0.0000 0.0000 Na
0.0000 0.5000 0.0000 Na
0.0000 0.0000 0.5000 Na
0.0000 0.0000 0.0000 Ag
0.5000 0.5000 0.5000 Br
```

**Calculated density**: 2.37 Mg/m³
**V**: 180.1 Å³/cell
**DOS at the Fermi energy**: 4.811 states/eV/cell
**ΔE to the lowest computed polymorph**: 107 meV/atom
**Formation energy from raw total energies**: -126 kJ/mol of formula units
**M_tot**: 0.000 μB per atom

[3]
Here is an optimized crystal structure of Ba3InPb2O6 from the Alexandria database. Energies are from PBE.

Cell and atoms, written as POSCAR:
```
Ba3InPb2O6
1.0
-2.7360 5.4892 0.7022
-1.4371 -3.5702 -4.8268
-5.2004 -3.0817 3.8278
In O Ba Pb
1 6 3 2
direct
0.0000 0.0000 0.5000 In
0.8336 0.6672 0.6838 O
0.1664 0.3328 0.3162 O
0.6672 0.8336 0.3162 O
0.3328 0.1664 0.6838 O
0.8336 0.1664 0.6838 O
0.1664 0.8336 0.3162 O
0.0000 0.0000 0.0000 Ba
0.3333 0.6667 0.6176 Ba
0.6667 0.3333 0.3824 Ba
0.3333 0.6667 0.1295 Pb
0.6667 0.3333 0.8705 Pb
```

**Calculated density**: 7.29 Mg/m³
**V**: 236.1 Å³/cell
**DOS at the Fermi energy**: 3.462 states/eV/cell
**Formation energy from raw total energies**: -2098 kJ/mol of formula units
**M_tot**: 0.000 μB per atom

[4]
Here is an optimized crystal structure of LiAcThRu from the Alexandria database. Energies are from PBE.

Cell and atoms, written as POSCAR:
```
LiAcThRu
1.0
5.2172 0.0000 0.0000
2.6086 4.5182 0.0000
2.6086 1.5061 4.2598
Th Ru Ac Li
1 1 1 1
direct
0.0000 0.0000 0.0000 Th
0.7500 0.7500 0.7500 Ru
0.5000 0.5000 0.5000 Ac
0.2500 0.2500 0.2500 Li
```

**Calculated density**: 9.38 Mg/m³
**V**: 100.4 Å³/cell
**DOS at the Fermi energy**: 4.229 states/eV/cell
**Formation enthalpy at 0 K**: -14 meV/atom
**M_tot**: 0.000 μB per atom

[5]
Here is an optimized crystal structure of GdPuAgIr from the Alexandria database. Energies are from PBE.

Cell and atoms, written as POSCAR:
```
GdPuAgIr
1.0
5.0114 0.0000 0.0000
2.5057 4.3400 0.0000
2.5057 1.4467 4.0918
Pu Ag Ir Gd
1 1 1 1
direct
0.5000 0.5000 0.5000 Pu
0.2500 0.2500 0.2500 Ag
0.7500 0.7500 0.7500 Ir
0.0000 0.0000 0.0000 Gd
```

**Calculated density**: 13.09 Mg/m³
**V**: 89.0 Å³/cell
**DOS at the Fermi energy**: 12.233 states/eV/cell
**Formation enthalpy at 0 K**: -326 meV/atom
**M_tot**: 0.361 μB per atom

[6]
Here is an optimized crystal structure of Pr5TmTl5 from the Alexandria database. Energies are from PBE.

Cell and atoms, written as POSCAR:
```
Pr5TmTl5
1.0
-5.5322 -0.3839 1.8636
0.8970 -5.6499 -7.6836
2.2755 -3.2136 6.0926
Pr Tl Tm
5 5 1
direct
0.6392 0.2784 0.6359 Pr
0.3093 0.6186 0.8117 Pr
0.6907 0.3814 0.1883 Pr
0.3608 0.7216 0.3641 Pr
0.0000 0.0000 0.5000 Pr
0.8399 0.6798 0.6164 Tl
0.1599 0.3199 0.9363 Tl
0.5000 0.0000 0.0000 Tl
0.1601 0.3202 0.3836 Tl
0.8401 0.6801 0.0637 Tl
0.0000 0.0000 0.0000 Tm
```

**Calculated density**: 8.88 Mg/m³
**V**: 354.4 Å³/cell
**DOS at the Fermi energy**: 13.206 states/eV/cell
**Formation enthalpy at 0 K**: -169 meV/atom
**M_tot**: 0.048 μB per atom

[7]
Here is an optimized crystal structure of Na2ZnH from the Alexandria database. Energies are from PBE.

Cell and atoms, written as POSCAR:
```
Na2ZnH
1.0
0.0000 3.4899 3.4899
3.4899 0.0000 3.4899
3.4899 3.4899 0.0000
Na H Zn
2 1 1
direct
0.2500 0.2500 0.2500 Na
0.7500 0.7500 0.7500 Na
0.0000 0.0000 0.0000 H
0.5000 0.5000 0.5000 Zn
```

**Calculated density**: 2.20 Mg/m³
**V**: 85.0 Å³/cell
**DOS at the Fermi energy**: 1.357 states/eV/cell
**ΔE to the lowest computed polymorph**: 295 meV/atom
**M_tot**: 0.000 μB per atom

[8]
Here is an optimized crystal structure of MgPaNiN3 from the Alexandria database. Energies are from PBE.

Cell and atoms, written as POSCAR:
```
MgPaNiN3
1.0
3.3799 0.0000 0.0000
0.0000 6.2404 0.4538
0.0000 -1.3659 7.8734
N Ni Mg Pa
6 2 2 2
direct
0.7500 0.8834 0.1368 N
0.2500 0.5905 0.8727 N
0.2500 0.1166 0.8632 N
0.7500 0.4095 0.1273 N
0.7500 0.2050 0.5328 N
0.2500 0.7950 0.4672 N
0.7500 0.8742 0.5006 Ni
0.2500 0.1258 0.4994 Ni
0.7500 0.8538 0.8639 Mg
0.2500 0.1462 0.1361 Mg
0.2500 0.6559 0.1797 Pa
0.7500 0.3441 0.8203 Pa
```

**Calculated density**: 7.03 Mg/m³
**V**: 168.2 Å³/cell
**DOS at the Fermi energy**: 0.044 states/eV/cell
**Formation energy from raw total energies**: -421 kJ/mol of formula units
**M_tot**: 0.000 μB per atom

[9]
Here is an optimized crystal structure of NiAg2As from the Alexandria database. Energies are from PBE.

Cell and atoms, written as POSCAR:
```
NiAg2As
1.0
-2.2137 -4.7652 0.1569
1.1920 -3.2008 -3.9957
2.0921 2.8200 3.9118
Ag Ni As
2 1 1
direct
0.0257 0.0257 0.0000 Ag
0.7397 0.2397 0.5000 Ag
0.2777 0.7777 0.5000 Ni
0.4569 0.4569 0.0000 As
```

**Calculated density**: 8.74 Mg/m³
**V**: 66.4 Å³/cell
**DOS at the Fermi energy**: 1.857 states/eV/cell
**Formation enthalpy at 0 K**: 110 meV/atom
**M_tot**: 0.000 μB per atom

[10]
Here is an optimized crystal structure of PrHoCd from the Alexandria database. Energies are from PBE.

Cell and atoms, written as POSCAR:
```
PrHoCd
1.0
-3.1025 0.1736 -1.9933
-1.6265 -2.3609 2.3259
0.3023 6.1066 3.4802
Ho Cd Pr
1 1 1
direct
0.0150 0.0150 0.0299 Ho
0.6587 0.6587 0.3175 Cd
0.3263 0.3263 0.6526 Pr
```

**Calculated density**: 7.80 Mg/m³
**V**: 89.0 Å³/cell
**DOS at the Fermi energy**: 3.864 states/eV/cell
**ΔE to the lowest computed polymorph**: 0 meV/atom
**Formation enthalpy at 0 K**: -193 meV/atom
**M_tot**: 0.155 μB per atom

[11]
Here is an optimized crystal structure of NaTiAl2O6 from the Alexandria database. Energies are from PBE.

Cell and atoms, written as POSCAR:
```
NaTiAl2O6
1.0
5.9240 0.0016 0.0016
1.9223 6.8605 -0.7985
1.9223 -1.0522 6.8262
O Al Ti Na
12 4 2 2
direct
0.4276 0.4280 0.3547 O
0.5724 0.5720 0.6453 O
0.0724 0.6453 0.5720 O
0.9276 0.3547 0.4280 O
0.9609 0.3541 0.8152 O
0.7900 0.0632 0.2269 O
0.4609 0.8152 0.3541 O
0.2900 0.2269 0.0632 O
0.5391 0.1848 0.6459 O
0.7100 0.7731 0.9368 O
0.0391 0.6459 0.1848 O
0.2100 0.9368 0.7731 O
0.1581 0.4417 0.2779 Al
0.6581 0.2779 0.4417 Al
0.8419 0.5583 0.7221 Al
0.3419 0.7221 0.5583 Al
0.2500 0.1845 0.8155 Ti
0.7500 0.8155 0.1845 Ti
0.2500 0.8938 0.1062 Na
0.7500 0.1062 0.8938 Na
```

**Calculated density**: 2.69 Mg/m³
**V**: 272.4 Å³/cell
**Formation energy from raw total energies**: -2492 kJ/mol of formula units
**M_tot**: 0.103 μB per atom

[12]
Here is an optimized crystal structure of Tb2PuTcN4 from the Alexandria database. Energies are from PBE.

Cell and atoms, written as POSCAR:
```
Tb2PuTcN4
1.0
3.3926 0.0000 0.0000
-1.6963 5.8108 0.0000
0.0000 0.0000 11.7014
N Pu Tc Tb
8 2 2 4
direct
0.0000 0.0000 0.5000 N
0.2680 0.5361 0.1313 N
0.7320 0.4639 0.8687 N
0.4525 0.9050 0.7500 N
0.0000 0.0000 0.0000 N
0.7320 0.4639 0.6313 N
0.2680 0.5361 0.3687 N
0.5475 0.0950 0.2500 N
0.1166 0.2332 0.7500 Pu
0.8834 0.7668 0.2500 Pu
0.8561 0.7122 0.7500 Tc
0.1439 0.2878 0.2500 Tc
0.6313 0.2625 0.4585 Tb
0.6313 0.2625 0.0415 Tb
0.3687 0.7375 0.5415 Tb
0.3687 0.7375 0.9585 Tb
```

**Calculated density**: 10.31 Mg/m³
**V**: 230.7 Å³/cell
**DOS at the Fermi energy**: 14.457 states/eV/cell
**Formation energy from raw total energies**: -756 kJ/mol of formula units
**M_tot**: 0.603 μB per atom

[13]
Here is an optimized crystal structure of IrBr2Cl from the Alexandria database. Energies are from PBE.

Cell and atoms, written as POSCAR:
```
IrBr2Cl
1.0
-0.4514 -1.6083 2.7869
3.2157 -0.2488 0.3773
0.0668 7.0501 4.0793
Br Cl Ir
2 1 1
direct
0.0000 0.0000 0.9417 Br
0.0000 0.0000 0.5583 Br
0.5000 0.5000 0.2500 Cl
0.5000 0.5000 0.7500 Ir
```

**Calculated density**: 7.49 Mg/m³
**V**: 85.9 Å³/cell
**DOS at the Fermi energy**: 5.117 states/eV/cell
**ΔE to the lowest computed polymorph**: 939 meV/atom
**Formation energy from raw total energies**: 292 kJ/mol of formula units
**M_tot**: 0.001 μB per atom

[14]
Here is an optimized crystal structure of ZrCuPt6 from the Alexandria database. Energies are from PBE.

Cell and atoms, written as POSCAR:
```
ZrCuPt6
1.0
4.0024 0.0000 0.0000
0.0000 4.0024 0.0000
0.0000 0.0000 7.8815
Pt Cu Zr
6 1 1
direct
0.5000 0.5000 0.0000 Pt
0.5000 0.0000 0.2572 Pt
0.5000 0.0000 0.7428 Pt
0.0000 0.5000 0.2572 Pt
0.0000 0.5000 0.7428 Pt
0.5000 0.5000 0.5000 Pt
0.0000 0.0000 0.5000 Cu
0.0000 0.0000 0.0000 Zr
```

**Calculated density**: 17.43 Mg/m³
**V**: 126.3 Å³/cell
**DOS at the Fermi energy**: 8.768 states/eV/cell
**Formation enthalpy at 0 K**: -592 meV/atom
**M_tot**: 0.000 μB per atom

[15]
Here is an optimized crystal structure of ScHgSbTe2 from the Alexandria database. Energies are from PBE.

Cell and atoms, written as POSCAR:
```
ScHgSbTe2
1.0
-0.6430 -1.6780 5.2303
5.1017 -2.1341 -0.0574
2.0742 4.9093 1.8300
Te Hg Sc Sb
2 1 1 1
direct
0.0000 0.5000 0.0000 Te
0.5000 0.0000 0.0000 Te
0.5000 0.5000 0.5000 Hg
0.0000 0.0000 0.0000 Sc
0.0000 0.0000 0.5000 Sb
```

**Calculated density**: 6.00 Mg/m³
**V**: 172.3 Å³/cell
**DOS at the Fermi energy**: 7.099 states/eV/cell
**ΔE to the lowest computed polymorph**: 0 meV/atom
**Formation energy from raw total energies**: -36 kJ/mol of formula units
**M_tot**: 0.000 μB per atom